Material: ScTi2Tc2
Method: DFT, PBE
State: relaxed

a = 7.4539 Å, b = 7.4539 Å, c = 3.0371 Å
α = 90.00°, β = 90.00°, γ = 90.00°
Atoms (fractional coordinates):
Sc: 0.0000 0.0000 0.0000
Sc: 0.5000 0.5000 0.0000
Ti: 0.1374 0.3626 0.0000
Ti: 0.3626 0.8626 0.0000
Ti: 0.6374 0.1374 0.0000
Ti: 0.8626 0.6374 0.0000
Tc: 0.1563 0.6563 0.5000
Tc: 0.3437 0.1563 0.5000
Tc: 0.6563 0.8437 0.5000
Tc: 0.8437 0.3437 0.5000

Computed properties:
As for the total energy: -86.71 eV/cell. The calculation puts the excess energy over the best structure of this formula in the dataset at 83 meV per atom. As for the space-group type: No. 127. For the formation energy, the calculation gives -0.100 eV/atom.

Material: Sc3Ti12Tc5
Method: DFT, PBE
State: relaxed

a = 13.2048 Å, b = 13.2048 Å, c = 13.2048 Å
α = 109.47°, β = 109.47°, γ = 109.47°
Atoms (fractional coordinates):
Sc: 0.1250 0.2500 0.3750
Sc: 0.1250 0.3750 0.7500
Sc: 0.2500 0.3750 0.1250
Sc: 0.2500 0.8750 0.6250
Sc: 0.3750 0.1250 0.2500
Sc: 0.3750 0.7500 0.1250
Sc: 0.6250 0.2500 0.8750
Sc: 0.6250 0.8750 0.7500
Sc: 0.7500 0.1250 0.3750
Sc: 0.7500 0.6250 0.8750
Sc: 0.8750 0.6250 0.2500
Sc: 0.8750 0.7500 0.6250
Ti: 0.0186 0.2002 0.0842
Ti: 0.0186 0.3184 0.9345
Ti: 0.0655 0.5842 0.3839
Ti: 0.0655 0.9814 0.6816
Ti: 0.0842 0.0186 0.2002
Ti: 0.0842 0.5655 0.8839
Ti: 0.1161 0.7002 0.6816
Ti: 0.1161 0.9158 0.4345
Ti: 0.1816 0.2002 0.6161
Ti: 0.1816 0.4814 0.5655
Ti: 0.2002 0.0842 0.0186
Ti: 0.2002 0.6161 0.1816
Ti: 0.2998 0.3184 0.8839
Ti: 0.2998 0.4814 0.4158
Ti: 0.3184 0.8839 0.2998
Ti: 0.3184 0.9345 0.0186
Ti: 0.3839 0.0655 0.5842
Ti: 0.3839 0.8184 0.7998
Ti: 0.4158 0.2998 0.4814
Ti: 0.4158 0.6161 0.9345
Ti: 0.4345 0.1161 0.9158
Ti: 0.4345 0.8184 0.5186
Ti: 0.4814 0.4158 0.2998
Ti: 0.4814 0.5655 0.1816
Ti: 0.5186 0.4345 0.8184
Ti: 0.5186 0.5842 0.7002
Ti: 0.5655 0.1816 0.4814
Ti: 0.5655 0.8839 0.0842
Ti: 0.5842 0.3839 0.0655
Ti: 0.5842 0.7002 0.5186
Ti: 0.6161 0.1816 0.2002
Ti: 0.6161 0.9345 0.4158
Ti: 0.6816 0.0655 0.9814
Ti: 0.6816 0.1161 0.7002
Ti: 0.7002 0.5186 0.5842
Ti: 0.7002 0.6816 0.1161
Ti: 0.7998 0.3839 0.8184
Ti: 0.7998 0.9158 0.9814
Ti: 0.8184 0.5186 0.4345
Ti: 0.8184 0.7998 0.3839
Ti: 0.8839 0.0842 0.5655
Ti: 0.8839 0.2998 0.3184
Ti: 0.9158 0.4345 0.1161
Ti: 0.9158 0.9814 0.7998
Ti: 0.9345 0.0186 0.3184
Ti: 0.9345 0.4158 0.6161
Ti: 0.9814 0.6816 0.0655
Ti: 0.9814 0.7998 0.9158
Tc: 0.0000 0.0000 0.0000
Tc: 0.0000 0.0000 0.5000
Tc: 0.0000 0.5000 0.0000
Tc: 0.0000 0.5000 0.5000
Tc: 0.1250 0.7500 0.8750
Tc: 0.1250 0.8750 0.2500
Tc: 0.2500 0.1250 0.8750
Tc: 0.2500 0.6250 0.3750
Tc: 0.3750 0.2500 0.6250
Tc: 0.3750 0.6250 0.7500
Tc: 0.5000 0.0000 0.0000
Tc: 0.5000 0.0000 0.5000
Tc: 0.5000 0.5000 0.0000
Tc: 0.5000 0.5000 0.5000
Tc: 0.6250 0.3750 0.2500
Tc: 0.6250 0.7500 0.3750
Tc: 0.7500 0.3750 0.6250
Tc: 0.7500 0.8750 0.1250
Tc: 0.8750 0.1250 0.7500
Tc: 0.8750 0.2500 0.1250

Computed properties:
As for the total energy: -590.15 eV/cell. As for the space-group type: No. 230. For the formation energy, the calculation gives 0.901 eV/atom.

Q: Among the records above, which one has the highest total energy?
A: ScTi2Tc2

What did the second record say?
Material: Sc3Ti12Tc5
Method: DFT, PBE
State: relaxed

a = 13.2048 Å, b = 13.2048 Å, c = 13.2048 Å
α = 109.47°, β = 109.47°, γ = 109.47°
Atoms (fractional coordinates):
Sc: 0.1250 0.2500 0.3750
Sc: 0.1250 0.3750 0.7500
Sc: 0.2500 0.3750 0.1250
Sc: 0.2500 0.8750 0.6250
Sc: 0.3750 0.1250 0.2500
Sc: 0.3750 0.7500 0.1250
Sc: 0.6250 0.2500 0.8750
Sc: 0.6250 0.8750 0.7500
Sc: 0.7500 0.1250 0.3750
Sc: 0.7500 0.6250 0.8750
Sc: 0.8750 0.6250 0.2500
Sc: 0.8750 0.7500 0.6250
Ti: 0.0186 0.2002 0.0842
Ti: 0.0186 0.3184 0.9345
Ti: 0.0655 0.5842 0.3839
Ti: 0.0655 0.9814 0.6816
Ti: 0.0842 0.0186 0.2002
Ti: 0.0842 0.5655 0.8839
Ti: 0.1161 0.7002 0.6816
Ti: 0.1161 0.9158 0.4345
Ti: 0.1816 0.2002 0.6161
Ti: 0.1816 0.4814 0.5655
Ti: 0.2002 0.0842 0.0186
Ti: 0.2002 0.6161 0.1816
Ti: 0.2998 0.3184 0.8839
Ti: 0.2998 0.4814 0.4158
Ti: 0.3184 0.8839 0.2998
Ti: 0.3184 0.9345 0.0186
Ti: 0.3839 0.0655 0.5842
Ti: 0.3839 0.8184 0.7998
Ti: 0.4158 0.2998 0.4814
Ti: 0.4158 0.6161 0.9345
Ti: 0.4345 0.1161 0.9158
Ti: 0.4345 0.8184 0.5186
Ti: 0.4814 0.4158 0.2998
Ti: 0.4814 0.5655 0.1816
Ti: 0.5186 0.4345 0.8184
Ti: 0.5186 0.5842 0.7002
Ti: 0.5655 0.1816 0.4814
Ti: 0.5655 0.8839 0.0842
Ti: 0.5842 0.3839 0.0655
Ti: 0.5842 0.7002 0.5186
Ti: 0.6161 0.1816 0.2002
Ti: 0.6161 0.9345 0.4158
Ti: 0.6816 0.0655 0.9814
Ti: 0.6816 0.1161 0.7002
Ti: 0.7002 0.5186 0.5842
Ti: 0.7002 0.6816 0.1161
Ti: 0.7998 0.3839 0.8184
Ti: 0.7998 0.9158 0.9814
Ti: 0.8184 0.5186 0.4345
Ti: 0.8184 0.7998 0.3839
Ti: 0.8839 0.0842 0.5655
Ti: 0.8839 0.2998 0.3184
Ti: 0.9158 0.4345 0.1161
Ti: 0.9158 0.9814 0.7998
Ti: 0.9345 0.0186 0.3184
Ti: 0.9345 0.4158 0.6161
Ti: 0.9814 0.6816 0.0655
Ti: 0.9814 0.7998 0.9158
Tc: 0.0000 0.0000 0.0000
Tc: 0.0000 0.0000 0.5000
Tc: 0.0000 0.5000 0.0000
Tc: 0.0000 0.5000 0.5000
Tc: 0.1250 0.7500 0.8750
Tc: 0.1250 0.8750 0.2500
Tc: 0.2500 0.1250 0.8750
Tc: 0.2500 0.6250 0.3750
Tc: 0.3750 0.2500 0.6250
Tc: 0.3750 0.6250 0.7500
Tc: 0.5000 0.0000 0.0000
Tc: 0.5000 0.0000 0.5000
Tc: 0.5000 0.5000 0.0000
Tc: 0.5000 0.5000 0.5000
Tc: 0.6250 0.3750 0.2500
Tc: 0.6250 0.7500 0.3750
Tc: 0.7500 0.3750 0.6250
Tc: 0.7500 0.8750 0.1250
Tc: 0.8750 0.1250 0.7500
Tc: 0.8750 0.2500 0.1250

Computed properties:
As for the total energy: -590.15 eV/cell. As for the space-group type: No. 230. For the formation energy, the calculation gives 0.901 eV/atom.